Material: ScAs2PdSe
Method: DFT, GGA-PBE
State: relaxed

Lattice parameters (Å, degrees): 5.067 5.067 5.008 90.00 90.00 90.00
Fractional positions:
Pd  0.500  0.500  0.500
Sc  0.000  0.000  0.000
Se  0.000  0.000  0.500
As  0.000  0.500  0.000
As  0.500  0.000  0.000

* polymorph energy (0 for the lowest one): 237 meV per atom
* theoretical density: 4.91 Mg/m³
* energy: -4.564 eV/atom
* E_form (uncorrected): 0.298 eV per atom



Material: BaAuCl2
Method: DFT, GGA-PBE
State: relaxed

Lattice parameters (Å, degrees): 6.257 6.257 4.461 89.62 89.62 41.26
Fractional positions:
Au  0.490  0.490  0.622
Cl  0.733  0.733  0.628
Ba  0.285  0.285  0.126
Cl  0.992  0.992  0.124

* polymorph energy (0 for the lowest one): 66 meV per atom
* theoretical density: 5.84 Mg/m³
* energy: -3.490 eV/atom
* E_form (uncorrected): -1.266 eV per atom